A geometry-optimized LiMnBiF6 structure, computed with PBE with a Hubbard U.

Total DFT energy (no corrections)   -5.36 eV/atom
SG   P-31c, No. 163
DOS(E_F)   0.00 states/eV/cell

Cell and atoms, written as POSCAR:
```
LiMnBiF6
1.0
5.384 0.000 0.000
-2.692 4.663 0.000
0.000 0.000 10.056
F Bi Li Mn
12 2 2 2
Direct
0.008 0.659 0.865
0.341 0.992 0.635
0.659 0.008 0.365
0.651 0.659 0.635
0.651 0.992 0.865
0.992 0.651 0.365
0.349 0.341 0.365
0.659 0.651 0.135
0.008 0.349 0.635
0.349 0.008 0.135
0.992 0.341 0.135
0.341 0.349 0.865
0.000 0.000 0.500
0.000 0.000 0.000
0.667 0.333 0.250
0.333 0.667 0.750
0.667 0.333 0.750
0.333 0.667 0.250
```